Record 1
The following is a DFT calculation (PBE) of crystalline EuBiAu4 at its relaxed geometry.

## Properties
- Size of the total moment: 27.24 μB/cell
- Energy of formation from the pure elements: -435 meV/atom
- Final energy: -119.50 eV per cell
- Theoretical density: 14.27 g/cm3

Geometry as CIF:
```
data_EuBiAu4
_cell_length_a 8.117
_cell_length_b 8.117
_cell_length_c 8.117
_cell_angle_alpha 90.00
_cell_angle_beta 90.00
_cell_angle_gamma 90.00
_symmetry_space_group_name_H-M 'F -4 3 m'
_symmetry_Int_Tables_number 216
_symmetry_space_group_name_Hall 'F -4 2 3'
loop_
_atom_site_label
_atom_site_fract_x
_atom_site_fract_y
_atom_site_fract_z
Eu1 0.000 0.000 0.000
Bi1 0.250 0.250 0.250
Au1 0.125 0.125 0.625
```

Record 2
The following is a DFT calculation (PBE) of crystalline ReTeF at its relaxed geometry.

## Properties
- ΔE to the lowest computed polymorph: 360 meV per atom
- Energy relative to the elements, uncorrected: -0.069 eV per atom
- Size of the total moment: 1.99 μB/cell
- Final energy: -35.34 eV per cell
- Theoretical density: 10.11 g/cm3

Geometry as CIF:
```
data_ReTeF
_cell_length_a 7.237
_cell_length_b 5.261
_cell_length_c 3.200
_cell_angle_alpha 90.00
_cell_angle_beta 116.16
_cell_angle_gamma 90.00
_symmetry_space_group_name_H-M 'C 1 m 1'
_symmetry_Int_Tables_number 8
loop_
_symmetry_equiv_pos_as_xyz
'x,y,z'
'x,-y,z'
'x+1/2,y+1/2,z'
'x+1/2,-y+1/2,z'
loop_
_atom_site_label
_atom_site_fract_x
_atom_site_fract_y
_atom_site_fract_z
Re1 0.000 0.000 0.000
Te1 0.172 0.500 0.173
F1 0.307 0.000 0.311
```

Record 3
The following is a DFT calculation (PBE) of crystalline AcPmGe3 at its relaxed geometry.

## Properties
- Size of the total moment: 0.00 μB/cell
- Energy of formation from the pure elements: -708 meV/atom
- Final energy: -105.00 eV per cell
- Theoretical density: 7.60 g/cm3

Geometry as CIF:
```
data_AcPmGe3
_cell_length_a 4.519
_cell_length_b 27.656
_cell_length_c 4.127
_cell_angle_alpha 90.00
_cell_angle_beta 90.00
_cell_angle_gamma 90.00
_symmetry_space_group_name_H-M 'C m c m'
_symmetry_Int_Tables_number 63
_symmetry_space_group_name_Hall '-C 2c 2'
loop_
_atom_site_label
_atom_site_fract_x
_atom_site_fract_y
_atom_site_fract_z
Ac1 0.000 0.074 0.250
Pm1 0.000 0.204 0.750
Ge1 0.000 0.314 0.750
Ge2 0.000 0.373 0.250
Ge3 0.000 0.473 0.250
```

Record 4
The following is a DFT calculation (PBE) of crystalline DyP2Ir at its relaxed geometry.

## Properties
- Size of the total moment: 0.00 μB/cell
- Energy of formation from the pure elements: -473 meV/atom
- Final energy: -78.52 eV per cell
- Theoretical density: 10.02 g/cm3

Geometry as CIF:
```
data_DyP2Ir
_cell_length_a 4.8343
_cell_length_b 4.8343
_cell_length_c 10.2311
_cell_angle_alpha 90.00
_cell_angle_beta 90.00
_cell_angle_gamma 120.00
_symmetry_space_group_name_H-M 'R -3 m'
_symmetry_Int_Tables_number 166
_symmetry_space_group_name_Hall '-R 3 2"'
loop_
_atom_site_label
_atom_site_fract_x
_atom_site_fract_y
_atom_site_fract_z
Dy1 0.0000 0.0000 0.0000
P1 0.0000 0.0000 0.2687
Ir1 0.0000 0.0000 0.5000
```

Record 5
The following is a DFT calculation (PBE) of crystalline BaSb12Os4 at its relaxed geometry.

## Properties
- Energy relative to the elements, uncorrected: -0.169 eV per atom
- Size of the total moment: 0.00 μB/cell
- Final energy: -198.37 eV per cell
- Theoretical density: 9.25 g/cm3

Geometry as CIF:
```
data_BaSb12Os4
_cell_length_a 9.460
_cell_length_b 9.460
_cell_length_c 9.460
_cell_angle_alpha 90.00
_cell_angle_beta 90.00
_cell_angle_gamma 90.00
_symmetry_space_group_name_H-M 'I m -3'
_symmetry_Int_Tables_number 204
_symmetry_space_group_name_Hall '-I 2 2 3'
loop_
_atom_site_label
_atom_site_fract_x
_atom_site_fract_y
_atom_site_fract_z
Ba1 0.000 0.000 0.000
Sb1 0.000 0.159 0.343
Os1 0.250 0.250 0.250
```

Record 6
The following is a DFT calculation (PBE) of crystalline TiTcOs3 at its relaxed geometry.

## Properties
- ΔE to the lowest computed polymorph: 35 meV per atom
- Size of the total moment: 2.04 μB/cell
- Energy of formation from the pure elements: 1906 meV/atom
- Final energy: -42.42 eV per cell
- Theoretical density: 13.25 g/cm3

Geometry as CIF:
```
data_TiTcOs3
_cell_length_a 4.478
_cell_length_b 4.478
_cell_length_c 4.478
_cell_angle_alpha 90.00
_cell_angle_beta 90.00
_cell_angle_gamma 90.00
_symmetry_space_group_name_H-M 'P m -3 m'
_symmetry_Int_Tables_number 221
_symmetry_space_group_name_Hall '-P 4 2 3'
loop_
_atom_site_label
_atom_site_fract_x
_atom_site_fract_y
_atom_site_fract_z
Ti1 0.000 0.000 0.000
Tc1 0.500 0.500 0.500
Os1 0.000 0.000 0.500
```